# 1
VASP calculation (SCAN) on a crystal of BaOsPt2 relaxed with PBEsol.

Unit cell a=4.802 b=4.802 c=4.802 alpha=60.00 beta=60.00 gamma=60.00
Positions (direct):
Os: 0.500 0.500 0.500
Ba: 0.000 0.000 0.000
Pt: 0.250 0.250 0.250
Pt: 0.750 0.750 0.750

Values from the calculation:
Excess energy over the best structure of this formula in the dataset: 583 meV per atom
VASP energy: -62.122 eV per atom
SG: Fm-3m, No. 225
Density: 15.2 g/cm3
Energy of formation: 80.3 kJ/mol of atoms

# 2
VASP calculation (SCAN) on a crystal of BaOs2Pt relaxed with PBEsol.

Unit cell a=3.597 b=5.561 c=5.595 alpha=119.80 beta=108.75 gamma=90.00
Positions (direct):
Os: 0.073 0.073 0.145
Os: 0.740 0.240 0.479
Ba: 0.245 0.745 0.490
Pt: 0.443 0.443 0.885

Values from the calculation:
Excess energy over the best structure of this formula in the dataset: 0 meV per atom
VASP energy: -62.515 eV per atom
SG: Imm2, No. 44
Density: 13.1 g/cm3
Energy of formation: 83.0 kJ/mol of atoms

# 3
VASP calculation (SCAN) on a crystal of BaOs2Pt relaxed with PBEsol.

Unit cell a=2.879 b=2.879 c=10.281 alpha=81.95 beta=81.95 gamma=60.00
Positions (direct):
Os: 0.236 0.236 0.291
Os: 0.764 0.764 0.709
Ba: 0.000 0.000 0.000
Pt: 0.500 0.500 0.500

Values from the calculation:
Excess energy over the best structure of this formula in the dataset: 380 meV per atom
VASP energy: -62.135 eV per atom
SG: R-3m, No. 166
Density: 16.2 g/cm3
Energy of formation: 119.7 kJ/mol of atoms